No. 1
Compound: Hf2SbSe
Source: Alexandria via LeMat-Bulk
Functional: PBE-GGA
Structure: optimized geometry

```
data_Hf2SbSe
_chemical_formula_sum 'Hf6 Sb3 Se3'
_cell_length_a 3.6896
_cell_length_b 3.6896
_cell_length_c 22.1952
_cell_angle_alpha 90.00
_cell_angle_beta 90.00
_cell_angle_gamma 120.00
_symmetry_space_group_name_H-M 'R 3 m'
_symmetry_Int_Tables_number 160
_symmetry_space_group_name_Hall 'R 3 -2"'
loop_
_atom_site_label
_atom_site_type_symbol
_atom_site_fract_x
_atom_site_fract_y
_atom_site_fract_z
Hf1 Hf 0.0000 0.0000 0.0000
Hf2 Hf 0.0000 0.0000 0.1756
Sb1 Sb 0.0000 0.0000 0.7550
Se1 Se 0.0000 0.0000 0.5882
```

Output
Formation energy without anion corrections: -646 meV/atom



No. 2
Compound: HfSbSe2
Source: Alexandria via LeMat-Bulk
Functional: PBE-GGA
Structure: optimized geometry

```
data_HfSbSe2
_chemical_formula_sum 'Hf3 Sb3 Se6'
_cell_length_a 3.6217
_cell_length_b 3.6217
_cell_length_c 27.5440
_cell_angle_alpha 90.00
_cell_angle_beta 90.00
_cell_angle_gamma 120.00
_symmetry_space_group_name_H-M 'R -3 m'
_symmetry_Int_Tables_number 166
_symmetry_space_group_name_Hall '-R 3 2"'
loop_
_atom_site_label
_atom_site_type_symbol
_atom_site_fract_x
_atom_site_fract_y
_atom_site_fract_z
Hf1 Hf 0.0000 0.0000 0.0000
Sb1 Sb 0.0000 0.0000 0.5000
Se1 Se 0.0000 0.0000 0.3938
```

Output
Formation energy without anion corrections: -790 meV/atom



No. 3
Compound: HfSb2Se
Source: Alexandria via LeMat-Bulk
Functional: PBE-GGA
Structure: optimized geometry

```
data_HfSb2Se
_chemical_formula_sum 'Hf4 Sb8 Se4'
_cell_length_a 6.3971
_cell_length_b 6.3971
_cell_length_c 13.7783
_cell_angle_alpha 90.00
_cell_angle_beta 90.00
_cell_angle_gamma 90.00
_symmetry_space_group_name_H-M 'I -4 2 d'
_symmetry_Int_Tables_number 122
_symmetry_space_group_name_Hall 'I -4 2bw'
loop_
_atom_site_label
_atom_site_type_symbol
_atom_site_fract_x
_atom_site_fract_y
_atom_site_fract_z
Hf1 Hf 0.0000 0.0000 0.0000
Sb1 Sb 0.2384 0.2500 0.1250
Se1 Se 0.0000 0.0000 0.5000
```

Output
Formation energy without anion corrections: 348 meV/atom



No. 4
Compound: Hf2SbSe
Source: Alexandria via LeMat-Bulk
Functional: PBE-GGA
Structure: optimized geometry

```
data_Hf2SbSe
_chemical_formula_sum 'Hf8 Sb4 Se4'
_cell_length_a 6.1726
_cell_length_b 6.1726
_cell_length_c 12.5830
_cell_angle_alpha 90.00
_cell_angle_beta 90.00
_cell_angle_gamma 90.00
_symmetry_space_group_name_H-M 'I -4 2 d'
_symmetry_Int_Tables_number 122
_symmetry_space_group_name_Hall 'I -4 2bw'
loop_
_atom_site_label
_atom_site_type_symbol
_atom_site_fract_x
_atom_site_fract_y
_atom_site_fract_z
Hf1 Hf 0.2213 0.2500 0.1250
Sb1 Sb 0.0000 0.0000 0.5000
Se1 Se 0.0000 0.0000 0.0000
```

Output
Formation energy without anion corrections: -54 meV/atom



No. 5
Compound: HfSbSe3
Source: Alexandria via LeMat-Bulk
Functional: PBE-GGA
Structure: optimized geometry

```
data_HfSbSe3
_chemical_formula_sum 'Hf1 Sb1 Se3'
_cell_length_a 5.1583
_cell_length_b 5.1583
_cell_length_c 5.1583
_cell_angle_alpha 90.00
_cell_angle_beta 90.00
_cell_angle_gamma 90.00
_symmetry_space_group_name_H-M 'P m -3 m'
_symmetry_Int_Tables_number 221
_symmetry_space_group_name_Hall '-P 4 2 3'
loop_
_atom_site_label
_atom_site_type_symbol
_atom_site_fract_x
_atom_site_fract_y
_atom_site_fract_z
Hf1 Hf 0.0000 0.0000 0.0000
Sb1 Sb 0.5000 0.5000 0.5000
Se1 Se 0.0000 0.0000 0.5000
```

Output
Formation energy without anion corrections: -297 meV/atom



No. 6
Compound: Hf6Sb3Se
Source: Alexandria via LeMat-Bulk
Functional: PBE-GGA
Structure: optimized geometry

```
data_Hf6Sb3Se
_chemical_formula_sum 'Hf24 Sb12 Se4'
_cell_length_a 10.5483
_cell_length_b 13.7608
_cell_length_c 6.5716
_cell_angle_alpha 90.00
_cell_angle_beta 90.00
_cell_angle_gamma 90.00
_symmetry_space_group_name_H-M 'C m c 21'
_symmetry_Int_Tables_number 36
_symmetry_space_group_name_Hall 'C 2c -2'
loop_
_atom_site_label
_atom_site_type_symbol
_atom_site_fract_x
_atom_site_fract_y
_atom_site_fract_z
Hf1 Hf 0.0000 0.0270 0.0000
Hf2 Hf 0.0000 0.2454 0.6289
Hf3 Hf 0.1525 0.4335 0.5828
Hf4 Hf 0.1731 0.2435 0.0503
Sb1 Sb 0.0000 0.4023 0.9463
Sb2 Sb 0.1926 0.0923 0.7229
Se1 Se 0.0000 0.1530 0.2837
```

Output
Formation energy without anion corrections: -368 meV/atom



No. 7
Compound: Hf2SbSe2
Source: Alexandria via LeMat-Bulk
Functional: PBE-GGA
Structure: optimized geometry

```
data_Hf2SbSe2
_chemical_formula_sum 'Hf4 Sb2 Se4'
_cell_length_a 7.8607
_cell_length_b 7.8607
_cell_length_c 3.3922
_cell_angle_alpha 90.00
_cell_angle_beta 90.00
_cell_angle_gamma 90.00
_symmetry_space_group_name_H-M 'P 4/m b m'
_symmetry_Int_Tables_number 127
_symmetry_space_group_name_Hall '-P 4 2ab'
loop_
_atom_site_label
_atom_site_type_symbol
_atom_site_fract_x
_atom_site_fract_y
_atom_site_fract_z
Hf1 Hf 0.1456 0.3544 0.0000
Sb1 Sb 0.0000 0.0000 0.0000
Se1 Se 0.1365 0.6365 0.5000
```

Output
Formation energy without anion corrections: -787 meV/atom



No. 8
Compound: Hf2SbSe
Source: Alexandria via LeMat-Bulk
Functional: PBE-GGA
Structure: optimized geometry

```
data_Hf2SbSe
_chemical_formula_sum 'Hf8 Sb4 Se4'
_cell_length_a 7.5347
_cell_length_b 6.8392
_cell_length_c 6.9129
_cell_angle_alpha 90.00
_cell_angle_beta 90.11
_cell_angle_gamma 90.00
_symmetry_space_group_name_H-M 'P 1 21/c 1'
_symmetry_Int_Tables_number 14
_symmetry_space_group_name_Hall '-P 2ybc'
loop_
_atom_site_label
_atom_site_type_symbol
_atom_site_fract_x
_atom_site_fract_y
_atom_site_fract_z
Hf1 Hf 0.1067 0.1942 0.4973
Hf2 Hf 0.3448 0.7000 0.0066
Sb1 Sb 0.3791 0.0875 0.2120
Se1 Se 0.1198 0.5740 0.2894
```

Output
Formation energy without anion corrections: -752 meV/atom



No. 9
Compound: HfSbSe2
Source: Alexandria via LeMat-Bulk
Functional: PBE-GGA
Structure: optimized geometry

```
data_HfSbSe2
_chemical_formula_sum 'Hf4 Sb4 Se8'
_cell_length_a 7.5917
_cell_length_b 7.5917
_cell_length_c 6.8068
_cell_angle_alpha 90.00
_cell_angle_beta 90.00
_cell_angle_gamma 90.00
_symmetry_space_group_name_H-M 'I -4 2 d'
_symmetry_Int_Tables_number 122
_symmetry_space_group_name_Hall 'I -4 2bw'
loop_
_atom_site_label
_atom_site_type_symbol
_atom_site_fract_x
_atom_site_fract_y
_atom_site_fract_z
Hf1 Hf 0.0000 0.0000 0.0000
Sb1 Sb 0.0000 0.0000 0.5000
Se1 Se 0.2164 0.2500 0.1250
```

Output
Formation energy without anion corrections: -318 meV/atom



No. 10
Compound: Hf2SbSe
Source: Alexandria via LeMat-Bulk
Functional: PBE-GGA
Structure: optimized geometry

```
data_Hf2SbSe
_chemical_formula_sum 'Hf6 Sb3 Se3'
_cell_length_a 3.9999
_cell_length_b 3.9999
_cell_length_c 19.2172
_cell_angle_alpha 90.00
_cell_angle_beta 90.00
_cell_angle_gamma 120.00
_symmetry_space_group_name_H-M 'R -3 m'
_symmetry_Int_Tables_number 166
_symmetry_space_group_name_Hall '-R 3 2"'
loop_
_atom_site_label
_atom_site_type_symbol
_atom_site_fract_x
_atom_site_fract_y
_atom_site_fract_z
Hf1 Hf 0.0000 0.0000 0.2348
Sb1 Sb 0.0000 0.0000 0.0000
Se1 Se 0.0000 0.0000 0.5000
```

Output
Formation energy without anion corrections: -587 meV/atom



No. 11
Compound: HfSbSe
Source: Alexandria via LeMat-Bulk
Functional: PBE-GGA
Structure: optimized geometry

```
data_HfSbSe
_chemical_formula_sum 'Hf12 Sb12 Se12'
_cell_length_a 15.1134
_cell_length_b 6.3255
_cell_length_c 10.5600
_cell_angle_alpha 90.00
_cell_angle_beta 118.45
_cell_angle_gamma 90.00
_symmetry_space_group_name_H-M 'C 1 c 1'
_symmetry_Int_Tables_number 9
_symmetry_space_group_name_Hall 'C -2yc'
loop_
_atom_site_label
_atom_site_type_symbol
_atom_site_fract_x
_atom_site_fract_y
_atom_site_fract_z
Hf1 Hf 0.0000 0.0057 0.0000
Hf2 Hf 0.2758 0.3726 0.5267
Hf3 Hf 0.3957 0.0116 0.2871
Sb1 Sb 0.1857 0.0720 0.2818
Sb2 Sb 0.2042 0.1724 0.0300
Sb3 Sb 0.2886 0.3568 0.8121
Se1 Se 0.0764 0.3366 0.4520
Se2 Se 0.4381 0.1355 0.5671
Se3 Se 0.4484 0.3794 0.2206
```

Output
Formation energy without anion corrections: -668 meV/atom



No. 12
Compound: Hf2SbSe
Source: Alexandria via LeMat-Bulk
Functional: PBE-GGA
Structure: optimized geometry

```
data_Hf2SbSe
_chemical_formula_sum 'Hf8 Sb4 Se4'
_cell_length_a 6.9061
_cell_length_b 6.9061
_cell_length_c 6.9061
_cell_angle_alpha 90.00
_cell_angle_beta 90.00
_cell_angle_gamma 90.00
_symmetry_space_group_name_H-M 'F m -3 m'
_symmetry_Int_Tables_number 225
_symmetry_space_group_name_Hall '-F 4 2 3'
loop_
_atom_site_label
_atom_site_type_symbol
_atom_site_fract_x
_atom_site_fract_y
_atom_site_fract_z
Hf1 Hf 0.2500 0.2500 0.2500
Sb1 Sb 0.0000 0.0000 0.0000
Se1 Se 0.0000 0.0000 0.5000
```

Output
Formation energy without anion corrections: -584 meV/atom



Number 1: E_tot -90.295 eV for the cell shown, DOS(E_F) 7.423 states/eV/cell. Number 2: E_tot -72.620 eV for the cell shown, DOS(E_F) 6.557 states/eV/cell. Number 3: E_tot -81.164 eV for the cell shown, DOS(E_F) 8.154 states/eV/cell. Number 4: E_tot -110.925 eV for the cell shown, DOS(E_F) 15.488 states/eV/cell. Number 5: E_tot -26.012 eV for the cell shown, DOS(E_F) 5.140 states/eV/cell. Number 6: E_tot -317.024 eV for the cell shown, DOS(E_F) 23.493 states/eV/cell. Number 7: E_tot -69.871 eV for the cell shown, DOS(E_F) 5.694 states/eV/cell. Number 8: E_tot -122.084 eV for the cell shown, DOS(E_F) 9.391 states/eV/cell. Number 9: E_tot -89.266 eV for the cell shown, DOS(E_F) 17.404 states/eV/cell. Number 10: E_tot -89.591 eV for the cell shown, DOS(E_F) 7.022 states/eV/cell. Number 11: E_tot -234.773 eV for the cell shown, DOS(E_F) 13.713 states/eV/cell. Number 12: E_tot -119.407 eV for the cell shown, DOS(E_F) 10.017 states/eV/cell.